VASP calculation (PBE) on an optimized crystal structure of SrDy2Zn6.

a b c (Å): 3.583 7.888 7.888
angles (deg): 120.00 90.04 90.00
Element x y z (fractional)
Dy: 0.000 0.667 0.333
Zn: 0.501 0.000 0.339
Zn: 0.499 0.000 0.661
Zn: 0.501 0.339 0.339
Zn: 0.500 0.339 0.000
Zn: 0.499 0.661 0.661
Dy: 0.000 0.333 0.667
Sr: 0.000 0.000 0.000
Zn: 0.500 0.661 0.000

Summary:
Formation energy from the elements   -2.65 eV per formula unit
Size of the total moment   0.000 μB per atom